The following is a PBE-GGA calculation of a geometry-optimized TaHgOs4 structure, from Alexandria.

a b c (Å): 7.353 7.353 7.353
angles (deg): 90.00 90.00 90.00
Space group F-43m (No. 216)
Asymmetric unit:
Ta: 0.000 0.000 0.000 [4 per cell]
Hg: 0.250 0.250 0.750 [4 per cell]
Os: 0.125 0.125 0.375 [16 per cell]

=====

The following is a PBE-GGA calculation of a geometry-optimized TaTiHgOs2 structure, from Alexandria.

a b c (Å): 4.501 4.501 4.893
angles (deg): 90.00 90.00 90.00
Space group P4/mmm (No. 123)
Asymmetric unit:
Ta: 0.000 0.000 0.000 [1 per cell]
Ti: 0.500 0.500 0.500 [1 per cell]
Hg: 0.500 0.500 0.000 [1 per cell]
Os: 0.000 0.500 0.500 [2 per cell]

=====

The following is a PBE-GGA calculation of a geometry-optimized Tb8Hg2Os structure, from Alexandria.

a b c (Å): 17.779 5.252 6.918
angles (deg): 90.00 108.58 90.00
Space group C2/m (No. 12)
Asymmetric unit:
Tb: 0.023 0.000 0.291 [4 per cell]
Tb: 0.089 0.500 0.928 [4 per cell]
Tb: 0.154 0.500 0.461 [4 per cell]
Tb: 0.199 0.000 0.802 [4 per cell]
Hg: 0.183 0.000 0.217 [4 per cell]
Os: 0.000 0.500 0.500 [2 per cell]

Properties
As for the distance to the lowest polymorph of the same formula: 0 meV per atom.

=====

The following is a PBE-GGA calculation of a geometry-optimized Tb7Hg2Os2 structure, from Alexandria.

a b c (Å): 8.116 10.838 7.156
angles (deg): 90.00 90.00 90.00
Space group Cmmm (No. 65)
Asymmetric unit:
Tb: 0.000 0.000 0.000 [2 per cell]
Tb: 0.000 0.500 0.241 [4 per cell]
Tb: 0.250 0.250 0.250 [8 per cell]
Hg: 0.183 0.000 0.500 [4 per cell]
Os: 0.000 0.291 0.000 [4 per cell]

=====

The following is a PBE-GGA calculation of a geometry-optimized Tb8Hg2Os structure, from Alexandria.

a b c (Å): 5.056 8.350 14.252
angles (deg): 90.00 90.00 90.00
Space group Immm (No. 71)
Asymmetric unit:
Tb: 0.000 0.000 0.120 [4 per cell]
Tb: 0.000 0.234 0.352 [8 per cell]
Tb: 0.000 0.329 0.000 [4 per cell]
Hg: 0.000 0.500 0.199 [4 per cell]
Os: 0.000 0.500 0.500 [2 per cell]

Properties
As for the distance to the lowest polymorph of the same formula: 125 meV per atom.

=====

The following is a PBE-GGA calculation of a geometry-optimized Tb4HgOs structure, from Alexandria.

a b c (Å): 8.587 12.832 6.242
angles (deg): 90.00 105.45 90.00
Space group C2/c (No. 15)
Asymmetric unit:
Tb: 0.106 0.170 0.041 [8 per cell]
Tb: 0.217 0.423 0.406 [8 per cell]
Hg: 0.000 0.373 0.750 [4 per cell]
Os: 0.000 0.001 0.250 [4 per cell]

=====

The following is a PBE-GGA calculation of a geometry-optimized TbZrHgOs structure, from Alexandria.

a b c (Å): 6.960 6.960 6.960
angles (deg): 90.00 90.00 90.00
Space group F-43m (No. 216)
Asymmetric unit:
Tb: 0.000 0.000 0.000 [4 per cell]
Zr: 0.000 0.000 0.500 [4 per cell]
Hg: 0.250 0.250 0.250 [4 per cell]
Os: 0.250 0.250 0.750 [4 per cell]

=====

The following is a PBE-GGA calculation of a geometry-optimized Tc2HgOs structure, from Alexandria.

a b c (Å): 2.870 4.705 9.633
angles (deg): 90.00 90.00 90.00
Space group Cmmm (No. 65)
Asymmetric unit:
Tc: 0.000 0.000 0.231 [4 per cell]
Hg: 0.000 0.500 0.500 [2 per cell]
Os: 0.000 0.500 0.000 [2 per cell]

=====

The following is a PBE-GGA calculation of a geometry-optimized Tc2HgOs structure, from Alexandria.

a b c (Å): 7.347 7.347 5.401
angles (deg): 90.00 90.00 90.00
Space group I-42d (No. 122)
Asymmetric unit:
Tc: 0.195 0.250 0.125 [8 per cell]
Hg: 0.000 0.000 0.500 [4 per cell]
Os: 0.000 0.000 0.000 [4 per cell]

=====

The following is a PBE-GGA calculation of a geometry-optimized TcHgOs structure, from Alexandria.

a b c (Å): 2.872 3.770 9.205
angles (deg): 90.00 90.00 90.00
Space group Imm2 (No. 44)
Asymmetric unit:
Tc: 0.000 0.000 0.000 [2 per cell]
Hg: 0.000 0.000 0.689 [2 per cell]
Os: 0.000 0.000 0.378 [2 per cell]

Properties
As for the distance to the lowest polymorph of the same formula: 184 meV per atom.

=====

The following is a PBE-GGA calculation of a geometry-optimized Tc2HgOs structure, from Alexandria.

a b c (Å): 2.8210 2.8210 27.7828
angles (deg): 90.00 90.00 120.00
Space group R-3m (No. 166, hexagonal axes)
Asymmetric unit:
Tc: 0.0000 0.0000 0.2428 [6 per cell]
Hg: 0.0000 0.0000 0.0000 [3 per cell]
Os: 0.0000 0.0000 0.5000 [3 per cell]

=====

The following is a PBE-GGA calculation of a geometry-optimized Tc2HgOs structure, from Alexandria.

a b c (Å): 9.349 2.835 4.900
angles (deg): 90.00 100.71 90.00
Space group Cm (No. 8)
Asymmetric unit:
Tc: 0.000 0.000 0.000 [2 per cell]
Tc: 0.239 0.500 0.222 [2 per cell]
Hg: 0.002 0.500 0.501 [2 per cell]
Os: 0.265 0.000 0.788 [2 per cell]

=====

| no. | energy of formation (meV per atom) |
| --- | --- |
| 1 | 480 |
| 2 | 1584 |
| 3 | -244 |
| 4 | -210 |
| 5 | -119 |
| 6 | -330 |
| 7 | -177 |
| 8 | 623 |
| 9 | 922 |
| 10 | 543 |
| 11 | 346 |
| 12 | 496 |